No. 1
Compound: NaAlHgBr4
Source: Alexandria
Functional: GGA-PBE
Structure: optimized geometry

a = 7.330 Å, b = 9.756 Å, c = 17.523 Å
α = 90.00°, β = 90.00°, γ = 90.00°
Space group Imma (No. 74)
Unique sites:
Na 0.000 0.000 0.000 x4
Al 0.000 0.250 0.427 x4
Hg 0.250 0.250 0.750 x4
Br 0.000 0.052 0.358 x8
Br 0.244 0.250 0.989 x8

Computed properties:
As for the total energy: -2.769 eV per atom.

---

No. 2
Compound: NaAlHg2Br4
Source: Alexandria
Functional: GGA-PBE
Structure: optimized geometry

a = 7.687 Å, b = 7.688 Å, c = 7.691 Å
α = 114.57°, β = 99.75°, γ = 114.48°
Space group P1 (No. 1)
Unique sites:
Na 0.000 0.000 0.000 x1
Al 0.750 0.501 0.250 x1
Hg 0.250 0.501 0.750 x1
Hg 0.499 0.001 0.500 x1
Br 0.000 0.419 0.180 x1
Br 0.419 0.182 0.000 x1
Br 0.762 0.582 0.581 x1
Br 0.820 0.820 0.238 x1

Computed properties:
As for the total energy: -2.444 eV per atom.

---

No. 3
Compound: Al2HgBrO
Source: Alexandria
Functional: GGA-PBE
Structure: optimized geometry

a = 5.725 Å, b = 5.725 Å, c = 6.953 Å
α = 90.00°, β = 90.00°, γ = 90.00°
Space group P4/mmm (No. 123)
Unique sites:
Al 0.000 0.500 0.000 x2
Hg 0.000 0.000 0.500 x1
Br 0.000 0.000 0.000 x1
O 0.500 0.500 0.500 x1

Computed properties:
As for the total energy: -1.926 eV per atom.

---

No. 4
Compound: RbAlHgBr4
Source: Alexandria
Functional: GGA-PBE
Structure: optimized geometry

a = 8.112 Å, b = 11.048 Å, c = 13.463 Å
α = 90.00°, β = 90.00°, γ = 90.00°
Space group Imma (No. 74)
Unique sites:
Rb 0.000 0.000 0.000 x4
Al 0.000 0.250 0.369 x4
Hg 0.250 0.250 0.750 x4
Br 0.000 0.072 0.278 x8
Br 0.232 0.250 0.475 x8

Computed properties:
As for the total energy: -2.826 eV per atom.

---

No. 5
Compound: Rb2AlHgBr6
Source: Alexandria
Functional: GGA-PBE
Structure: optimized geometry

a = 7.833 Å, b = 7.833 Å, c = 11.113 Å
α = 90.00°, β = 90.00°, γ = 90.00°
Space group I4/mmm (No. 139)
Unique sites:
Rb 0.000 0.500 0.250 x4
Al 0.000 0.000 0.000 x2
Hg 0.000 0.000 0.500 x2
Br 0.000 0.000 0.229 x4
Br 0.230 0.230 0.000 x8

Computed properties:
As for the total energy: -2.750 eV per atom.

---

No. 6
Compound: Rb2AlHg2Br4
Source: Alexandria
Functional: GGA-PBE
Structure: optimized geometry

a = 8.337 Å, b = 8.337 Å, c = 8.513 Å
α = 90.00°, β = 90.00°, γ = 90.00°
Space group I4/mmm (No. 139)
Unique sites:
Rb 0.000 0.500 0.250 x4
Al 0.000 0.000 0.000 x2
Hg 0.000 0.000 0.323 x4
Br 0.225 0.225 0.000 x8

Computed properties:
As for the total energy: -2.456 eV per atom.

---

No. 7
Compound: AlSnHgBr6
Source: Alexandria
Functional: GGA-PBE
Structure: optimized geometry

a = 6.8558 Å, b = 6.8558 Å, c = 9.3527 Å
α = 90.00°, β = 90.00°, γ = 120.00°
Space group P312 (No. 149)
Unique sites:
Al 0.0000 0.0000 0.0000 x1
Sn 0.6667 0.3333 0.0000 x1
Hg 0.3333 0.6667 0.5000 x1
Br 0.3005 0.0082 0.1622 x6

Computed properties:
As for the total energy: -2.727 eV per atom.

---

No. 8
Compound: SrAl2HgBr8
Source: Alexandria
Functional: GGA-PBE
Structure: optimized geometry

a = 7.0484 Å, b = 7.0484 Å, c = 35.4239 Å
α = 90.00°, β = 90.00°, γ = 120.00°
Space group R-3 (No. 148, hexagonal axes)
Unique sites:
Sr 0.0000 0.0000 0.0000 x3
Al 0.0000 0.0000 0.2578 x6
Hg 0.0000 0.0000 0.5000 x3
Br 0.0000 0.0000 0.1942 x6
Br 0.0117 0.6476 0.9488 x18

Computed properties:
As for the total energy: -3.157 eV per atom.

---

No. 9
Compound: AlTlHg2Br4
Source: Alexandria
Functional: GGA-PBE
Structure: optimized geometry

a = 6.738 Å, b = 6.805 Å, c = 7.583 Å
α = 93.39°, β = 101.15°, γ = 109.60°
Space group P1 (No. 1)
Unique sites:
Al 0.000 0.000 0.000 x1
Tl 0.403 0.743 0.309 x1
Hg 0.133 0.405 0.565 x1
Hg 0.592 0.246 0.517 x1
Br 0.338 0.009 0.964 x1
Br 0.732 0.781 0.761 x1
Br 0.947 0.862 0.272 x1
Br 0.987 0.337 0.020 x1

Computed properties:
As for the total energy: -2.453 eV per atom.

---

No. 10
Compound: AlTlHgBr4
Source: Alexandria
Functional: GGA-PBE
Structure: optimized geometry

a = 15.828 Å, b = 10.188 Å, c = 8.537 Å
α = 90.00°, β = 115.78°, γ = 90.00°
Space group C2/m (No. 12)
Unique sites:
Al 0.186 0.000 0.286 x4
Tl 0.209 0.000 0.797 x4
Hg 0.066 0.500 0.881 x4
Br 0.062 0.000 0.362 x4
Br 0.174 0.500 0.460 x4
Br 0.177 0.183 0.114 x8

Computed properties:
As for the total energy: -2.775 eV per atom.

---

No. 11
Compound: HoAl2Br8
Source: Alexandria
Functional: GGA-PBE
Structure: optimized geometry

a = 13.424 Å, b = 10.046 Å, c = 6.784 Å
α = 90.00°, β = 98.50°, γ = 90.00°
Space group C2/m (No. 12)
Unique sites:
Ho 0.000 0.000 0.000 x2
Al 0.192 0.000 0.648 x4
Br 0.099 0.179 0.768 x8
Br 0.140 0.500 0.226 x4
Br 0.180 0.000 0.286 x4

Computed properties:
As for the total energy: -3.517 eV per atom.

---

No. 12
Compound: HoAlBr
Source: Alexandria
Functional: GGA-PBE
Structure: optimized geometry

a = 7.275 Å, b = 4.200 Å, c = 11.687 Å
α = 90.00°, β = 102.25°, γ = 90.00°
Space group C2/m (No. 12)
Unique sites:
Ho 0.061 0.000 0.180 x4
Al 0.160 0.500 0.980 x4
Br 0.221 0.000 0.670 x4

Computed properties:
As for the total energy: -4.369 eV per atom.